Computed, not measured: a geometry-optimized Tb3DyTm3 structure at the PBE level of DFT.

Unit cell a=5.605 b=9.494 c=9.495 alpha=120.00 beta=90.00 gamma=90.00
Sites, in units of the cell vectors:
Tb: 0.750 0.760 0.808
Tb: 0.750 0.048 0.240
Tb: 0.750 0.192 0.952
Tb: 0.250 0.240 0.192
Tb: 0.250 0.952 0.760
Tb: 0.250 0.808 0.048
Dy: 0.750 0.333 0.667
Dy: 0.250 0.667 0.333
Tm: 0.250 0.523 0.618
Tm: 0.250 0.095 0.477
Tm: 0.250 0.382 0.905
Tm: 0.750 0.477 0.382
Tm: 0.750 0.905 0.523
Tm: 0.750 0.618 0.095

Calculated values
* crystal system: hexagonal
* E_tot: -31.9 eV per formula unit
* symmetry: P6_3/m
* DOS at the Fermi energy: 28.2 states/eV per cell